1.
Computed, not measured: crystalline BaCa2PrIn4 at its relaxed geometry at the PBE level of DFT.

Lattice parameters (Å, degrees): 5.603 5.603 9.819 73.42 73.42 60.00
Element x y z (fractional)
Ca1 0.249 0.249 0.253
Ba1 0.000 0.000 0.000
In1 0.127 0.127 0.618
In2 0.618 0.618 0.146
Ca2 0.751 0.751 0.747
In3 0.382 0.382 0.854
Pr1 0.500 0.500 0.500
In4 0.873 0.873 0.382

Output
Space group   R-3m (166)
Volume   252 Å³ per cell
Calculated formation energy   -434.7 meV per atom

***

2.
Computed, not measured: crystalline ZnGa2Ag6 at its relaxed geometry at the PBE level of DFT.

Lattice parameters (Å, degrees): 4.383 6.090 7.772 113.06 109.79 90.00
Element x y z (fractional)
Ag1 0.500 0.750 0.000
Ag2 0.500 0.250 0.000
Zn1 0.000 0.000 0.000
Ga1 0.343 0.335 0.669
Ag3 0.839 0.585 0.665
Ag4 0.161 0.920 0.335
Ag5 0.161 0.415 0.335
Ga2 0.657 0.665 0.331
Ag6 0.839 0.080 0.665

Output
Space group   C2/m (12)
Volume   177 Å³ per cell
Energy above the lowest structure with this stoichiometry   0.123 eV/atom
Calculated formation energy   129.6 meV per atom

***

3.
Computed, not measured: crystalline SmSc2Pt2 at its relaxed geometry at the PBE level of DFT.

Lattice parameters (Å, degrees): 4.390 4.390 6.601 109.42 109.42 90.00
Element x y z (fractional)
Sm1 0.000 0.000 0.000
Sc1 0.250 0.750 0.500
Pt1 0.385 0.385 0.771
Sc2 0.750 0.250 0.500
Pt2 0.615 0.615 0.229

Output
Space group   I4/mmm (139)
Volume   112 Å³ per cell
Calculated formation energy   -1005.8 meV per atom

***

4.
Computed, not measured: crystalline Ba2OsSe at its relaxed geometry at the PBE level of DFT.

Lattice parameters (Å, degrees): 3.922 3.922 8.906 63.88 90.00 90.00
Last column: magnetic moment on the atom in μB.
Element x y z (fractional)
Ba1 0.000 0.005 0.995  -0.02
Ba2 0.000 0.495 0.505  -0.02
Os1 0.500 0.250 0.250  1.45
Se1 0.500 0.750 0.750  0.06

Output
ΔE_f (raw)   -49 meV/atom
Space group   P4/mmm (123)
Volume   123 Å³ per cell

***

5.
Computed, not measured: crystalline BaPuAgSe3 at its relaxed geometry at the PBE level of DFT.

Lattice parameters (Å, degrees): 4.317 8.776 9.550 105.67 90.00 90.00
Last column: magnetic moment on the atom in μB.
Element x y z (fractional)
Se1 0.750 0.893 0.128  -0.07
Se2 0.250 0.107 0.872  -0.07
Se3 0.250 0.550 0.843  -0.10
Ag1 0.250 0.087 0.588  -0.01
Pu1 0.250 0.675 0.158  5.13
Ag2 0.750 0.913 0.412  -0.01
Se4 0.250 0.752 0.475  -0.04
Se5 0.750 0.450 0.157  -0.10
Ba1 0.250 0.200 0.245  0.00
Pu2 0.750 0.325 0.842  5.13
Se6 0.750 0.248 0.525  -0.04
Ba2 0.750 0.800 0.755  0.00

Output
ΔE_f (raw)   -1353 meV/atom
Space group   P2_1/m (11)
Volume   348 Å³ per cell

***

6.
Computed, not measured: crystalline In6AgBi2 at its relaxed geometry at the PBE level of DFT.

Lattice parameters (Å, degrees): 7.905 9.358 9.866 90.00 43.27 90.00
Element x y z (fractional)
Bi1 0.548 0.080 0.229
Ag1 0.500 0.500 0.000
In1 0.399 0.807 0.120
In2 0.582 0.446 0.243
Ag2 0.000 0.000 0.500
Bi2 0.952 0.580 0.271
In3 0.101 0.307 0.380
In4 0.591 0.243 0.520
In5 0.899 0.693 0.620
Bi3 0.452 0.920 0.771
In6 0.082 0.054 0.743
In7 0.909 0.743 0.980
Bi4 0.048 0.420 0.729
In8 0.409 0.757 0.480
In9 0.601 0.193 0.880
In10 0.091 0.257 0.020
In11 0.918 0.946 0.257
In12 0.418 0.554 0.757

Output
Space group   P2_1/c (14)
Volume   500 Å³ per cell
Calculated formation energy   35.6 meV per atom

***

7.
Computed, not measured: crystalline YNiHgPt at its relaxed geometry at the PBE level of DFT.

Lattice parameters (Å, degrees): 4.731 4.731 4.731 60.00 60.00 60.00
Element x y z (fractional)
Pt1 0.750 0.750 0.750
Ni1 0.250 0.250 0.250
Hg1 0.500 0.500 0.500
Y1 0.000 0.000 0.000

Output
Space group   F-43m (216)
Volume   75 Å³ per cell
Calculated formation energy   -468.8 meV per atom

***

8.
Computed, not measured: crystalline Np2TcSb at its relaxed geometry at the PBE level of DFT.

Lattice parameters (Å, degrees): 3.865 3.865 5.754 90.00 90.00 90.00
Last column: magnetic moment on the atom in μB.
Element x y z (fractional)
Np1 0.000 0.000 0.238  3.76
Np2 0.000 0.000 0.762  3.76
Tc1 0.500 0.500 0.000  -0.98
Sb1 0.500 0.500 0.500  -0.09

Output
ΔE_f (raw)   3 meV/atom
Space group   P4/mmm (123)
Volume   86 Å³ per cell
Energy above the lowest structure with this stoichiometry   0.000 eV/atom